# 1
A plane-wave DFT calculation with PBE was carried out for YCdInSe3 after structural relaxation.

Output
For the total magnetization, the calculation gives 0.0 μB per formula unit. For the distance to the lowest polymorph of the same formula, the calculation gives 28.5 meV per atom.

a = 12.5180 Å, b = 4.2486 Å, c = 12.5582 Å
α = 90.00°, β = 90.00°, γ = 90.00°
With the nearest neighbours (Å) after each atom.
Space group Pnma (No. 62)
Asymmetric unit:
Y 0.0300 0.2500 0.1674 [4 per cell]  6 Se 2.87-2.99
Cd 0.2438 0.7500 0.3102 [4 per cell]  4 Se 2.63-2.72
In 0.1549 0.2500 0.5155 [4 per cell]  3 Se 3.02-3.12
Se 0.0300 0.7500 0.3296 [4 per cell]  1 Cd 2.69, 2 Y 2.94
Se 0.0891 0.2500 0.9367 [4 per cell]  1 Cd 2.63, 2 Y 2.91
Se 0.2408 0.7500 0.6764 [4 per cell]  2 Cd 2.72, 1 Y 2.87



# 2
A plane-wave DFT calculation with PBE was carried out for YCdInSe3 after structural relaxation.

Output
For the total magnetization, the calculation gives 0.0 μB per formula unit. For the distance to the lowest polymorph of the same formula, the calculation gives 0.0 meV per atom.

a = 4.2326 Å, b = 14.4204 Å, c = 11.1162 Å
α = 90.00°, β = 90.00°, γ = 90.00°
With the nearest neighbours (Å) after each atom.
Space group Cmcm (No. 63)
Asymmetric unit:
Y 0.0000 0.0000 0.0000 [4 per cell]  6 Se 2.91-2.98
Cd 0.0000 0.4576 0.2500 [4 per cell]  4 Se 2.62-2.71
In 0.0000 0.2524 0.7500 [4 per cell]  6 Se 3.27-3.54
Se 0.0000 0.0749 0.2500 [4 per cell]  2 Cd 2.71, 2 Y 2.98
Se 0.0000 0.3660 0.0466 [8 per cell]  1 Cd 2.62, 2 Y 2.91



# 3
A plane-wave DFT calculation with PBE was carried out for Cd2In2Si3 after structural relaxation.

Output
The value obtained for the raw total energy is -2.93 eV per atom.

a = 4.8298 Å, b = 4.8298 Å, c = 22.9725 Å
α = 90.00°, β = 90.00°, γ = 120.00°
With the nearest neighbours (Å) after each atom.
Space group R3m (No. 160, hexagonal axes)
Asymmetric unit:
Cd 0.0000 0.0000 0.0000 [3 per cell]  7 Si 2.89-3.01
Cd 0.0000 0.0000 0.4882 [3 per cell]  5 Si 2.80-3.02
In 0.0000 0.0000 0.2364 [3 per cell]  7 Si 2.88-2.99
In 0.0000 0.0000 0.7473 [3 per cell]  5 Si 2.86-3.00
Si 0.0000 0.0000 0.3663 [3 per cell]  4 Cd 2.80-2.89, 4 In 2.98-3.00
Si 0.0000 0.0000 0.6170 [3 per cell]  4 Cd 2.96-3.01, 4 In 2.99
Si 0.0000 0.0000 0.8716 [3 per cell]  4 In 2.86-2.88, 4 Cd 2.95-3.02



# 4
A plane-wave DFT calculation with PBE was carried out for SmCdIn2 after structural relaxation.

Output
The value obtained for the raw total energy is -3.20 eV per atom. For the total magnetization, the calculation gives 0.0 μB per formula unit.

a = 4.6730 Å, b = 4.6730 Å, c = 4.5914 Å
α = 90.00°, β = 90.00°, γ = 90.00°
With the nearest neighbours (Å) after each atom.
Space group P4/mmm (No. 123)
Asymmetric unit:
Sm 0.0000 0.0000 0.0000 [1 per cell]  8 In 3.28, 4 Cd 3.30
Cd 0.5000 0.5000 0.0000 [1 per cell]  8 In 3.28, 4 Sm 3.30
In 0.0000 0.5000 0.5000 [2 per cell]  4 Cd 3.28, 4 Sm 3.28, 4 In 3.30



# 5
A plane-wave DFT calculation with PBE was carried out for SmCdInTe3 after structural relaxation.

Output
For the total magnetization, the calculation gives 0.0 μB per formula unit. For the distance to the lowest polymorph of the same formula, the calculation gives 6.8 meV per atom.

a = 15.2707 Å, b = 4.5055 Å, c = 12.0277 Å
α = 90.00°, β = 90.00°, γ = 90.00°
With the nearest neighbours (Å) after each atom.
Space group Pnma (No. 62)
Asymmetric unit:
Sm 0.0270 0.2500 0.1573 [4 per cell]  6 Te 3.09-3.27
Cd 0.0204 0.7500 0.3977 [4 per cell]  4 Te 2.84-2.94
In 0.2415 0.2500 0.4557 [4 per cell]  2 Te 3.28
Te 0.0976 0.7500 0.6216 [4 per cell]  3 Cd 2.89-2.94
Te 0.1047 0.2500 0.9199 [4 per cell]  3 Sm 3.09-3.16, 2 In 3.28
Te 0.1573 0.7500 0.2372 [4 per cell]  1 Cd 2.84, 2 Sm 3.16



# 6
A plane-wave DFT calculation with PBE was carried out for SmCdInTe3 after structural relaxation.

Output
For the total magnetization, the calculation gives 0.0 μB per formula unit. For the distance to the lowest polymorph of the same formula, the calculation gives 15.2 meV per atom.

a = 8.7655 Å, b = 4.5131 Å, c = 11.1654 Å
α = 90.00°, β = 106.21°, γ = 90.00°
With the nearest neighbours (Å) after each atom.
Space group P2_1/m (No. 11)
Asymmetric unit:
Sm 0.1910 0.2500 0.1399 [2 per cell]  6 Te 3.11-3.31
Cd 0.4213 0.7500 0.3891 [2 per cell]  4 Te 2.83-2.97
In 0.2451 0.7500 0.7191 [2 per cell]  4 Te 3.36-3.55
Te 0.0571 0.2500 0.8506 [2 per cell]  3 Sm 3.11-3.16, 2 In 3.36
Te 0.2475 0.2500 0.4461 [2 per cell]  3 Cd 2.89-2.97
Te 0.4439 0.7500 0.1415 [2 per cell]  1 Cd 2.83, 2 Sm 3.16



# 7
A plane-wave DFT calculation with PBE was carried out for SmCdInTe3 after structural relaxation.

Output
For the total magnetization, the calculation gives 0.0 μB per formula unit. For the distance to the lowest polymorph of the same formula, the calculation gives 0.4 meV per atom.

a = 4.4832 Å, b = 15.3556 Å, c = 11.7419 Å
α = 90.00°, β = 90.00°, γ = 90.00°
With the nearest neighbours (Å) after each atom.
Space group Cmcm (No. 63)
Asymmetric unit:
Sm 0.0000 0.0000 0.0000 [4 per cell]  6 Te 3.18-3.22
Cd 0.0000 0.4670 0.2500 [4 per cell]  4 Te 2.83-2.89
In 0.0000 0.2394 0.7500 [4 per cell]  6 Te 3.50-3.55, 2 Cd 3.88
Te 0.0000 0.0855 0.2500 [4 per cell]  2 Cd 2.89, 2 Sm 3.22
Te 0.0000 0.3593 0.0543 [8 per cell]  1 Cd 2.83



# 8
A plane-wave DFT calculation with PBE was carried out for SmCdInTe3 after structural relaxation.

Output
For the total magnetization, the calculation gives 0.0 μB per formula unit. For the distance to the lowest polymorph of the same formula, the calculation gives 40.3 meV per atom.

a = 12.9029 Å, b = 4.6330 Å, c = 13.3023 Å
α = 90.00°, β = 90.00°, γ = 90.00°
With the nearest neighbours (Å) after each atom.
Space group Pnma (No. 62)
Asymmetric unit:
Sm 0.0257 0.2500 0.1821 [4 per cell]  6 Te 3.18-3.35
Cd 0.2444 0.7500 0.3001 [4 per cell]  4 Te 2.81-2.88
In 0.1734 0.2500 0.4932 [4 per cell]  5 Te 3.35-3.52, 2 Cd 3.58
Te 0.0301 0.7500 0.3509 [4 per cell]  1 Cd 2.85
Te 0.0899 0.2500 0.9378 [4 per cell]  1 Cd 2.81
Te 0.2278 0.7500 0.6748 [4 per cell]  2 Cd 2.88, 1 Sm 3.18